[1]
Ba2PPb, optimized geometry, DFT GGA-PBEsol; space group = I-4m2, No. 119; energy of formation from the pure elements = -0.427 eV/atom
1.0
-2.385 2.385 5.610
2.385 -2.385 5.610
2.385 2.385 -5.610
Ba P Pb
2 1 1
Direct
0.000 0.000 0.000
0.750 0.250 0.500
0.500 0.500 0.000
0.250 0.750 0.500

[2]
Ta2Zn2Os, optimized geometry, DFT GGA-PBEsol; space group = I4/mmm, No. 139; energy of formation from the pure elements = 0.725 eV/atom
1.0
-1.877 1.877 5.718
1.877 -1.877 5.718
1.877 1.877 -5.718
Ta Zn Os
2 2 1
Direct
0.250 0.750 0.500
0.750 0.250 0.500
0.093 0.093 0.000
0.907 0.907 0.000
0.500 0.500 0.000

[3]
BeB3Pb, optimized geometry, DFT GGA-PBEsol; space group = Pm-3m, No. 221; energy of formation from the pure elements = 1.610 eV/atom
1.0
3.948 0.000 0.000
0.000 3.948 0.000
0.000 0.000 3.948
Be B Pb
1 3 1
Direct
0.000 0.000 0.000
0.000 0.000 0.500
0.000 0.500 0.000
0.500 0.000 0.000
0.500 0.500 0.500

[4]
BePbBr, optimized geometry, DFT GGA-PBEsol; space group = I4mm, No. 107; formation energy without anion corrections = 0.273 eV per atom
1.0
-1.625 1.625 6.358
1.625 -1.625 6.358
1.625 1.625 -6.358
Be Pb Br
1 1 1
Direct
0.000 0.000 0.000
0.344 0.344 0.000
0.598 0.598 0.000

[5]
NbCl3O, optimized geometry, DFT GGA-PBEsol; space group = P4_2/mnm, No. 136; formation energy without anion corrections = -1.588 eV per atom
1.0
11.296 0.000 0.000
0.000 11.296 0.000
0.000 0.000 3.835
Nb Cl O
4 12 4
Direct
0.123 0.123 0.000
0.377 0.623 0.500
0.623 0.377 0.500
0.877 0.877 0.000
0.102 0.324 0.000
0.102 0.898 0.000
0.176 0.602 0.500
0.324 0.102 0.000
0.398 0.398 0.500
0.398 0.824 0.500
0.602 0.176 0.500
0.602 0.602 0.500
0.676 0.898 0.000
0.824 0.398 0.500
0.898 0.102 0.000
0.898 0.676 0.000
0.109 0.109 0.500
0.391 0.609 0.000
0.609 0.391 0.000
0.891 0.891 0.500

[6]
LiSiAs2, optimized geometry, DFT GGA-PBEsol; space group = I4/mmm, No. 139; formation energy without anion corrections = 0.054 eV per atom
1.0
-2.084 2.084 3.799
2.084 -2.084 3.799
2.084 2.084 -3.799
Li Si As
1 1 2
Direct
0.000 0.000 0.000
0.500 0.500 0.000
0.250 0.750 0.500
0.750 0.250 0.500

[7]
MnCoTc2, optimized geometry, DFT GGA-PBEsol; space group = Pmm2, No. 25; excess energy over the best structure of this formula in the dataset = 0 meV/atom; energy of formation from the pure elements = -0.021 eV/atom
1.0
2.596 0.000 0.000
0.000 4.144 0.000
0.000 0.000 4.467
Mn Co Tc
1 1 2
Direct
0.000 0.000 0.000
0.000 0.500 0.331
0.500 0.000 0.486
0.500 0.500 0.840

[8]
Tb5Ga3, optimized geometry, DFT GGA-PBEsol; space group = I4/mcm, No. 140; energy of formation from the pure elements = -0.499 eV/atom
1.0
-3.752 3.752 7.037
3.752 -3.752 7.037
3.752 3.752 -7.037
Tb Ga
10 6
Direct
0.000 0.000 0.000
0.023 0.523 0.843
0.180 0.023 0.500
0.320 0.820 0.843
0.477 0.320 0.500
0.500 0.500 0.000
0.523 0.680 0.500
0.680 0.180 0.157
0.820 0.977 0.500
0.977 0.477 0.157
0.121 0.379 0.500
0.250 0.250 0.000
0.379 0.879 0.259
0.621 0.121 0.741
0.750 0.750 0.000
0.879 0.621 0.500